1.
# Cu6SnAu12 PBE optimized geometry
# - density (g cm⁻³) = 13.97
# - crystal system = trigonal
# - DOS(E_F) (states/eV/cell) = 21.06
data_Cu6SnAu12
_cell_length_a 11.2792
_cell_length_b 11.2792
_cell_length_c 9.2682
_cell_angle_alpha 90.00
_cell_angle_beta 90.00
_cell_angle_gamma 120.00
_symmetry_space_group_name_H-M 'R -3'
_symmetry_Int_Tables_number 148
_symmetry_space_group_name_Hall '-R 3'
loop_
_atom_site_label
_atom_site_type_symbol
_atom_site_fract_x
_atom_site_fract_y
_atom_site_fract_z
Cu1 Cu 0.0334 0.1424 0.2113
Sn1 Sn 0.0000 0.0000 0.5000
Au1 Au 0.0557 0.4607 0.1221
Au2 Au 0.0672 0.4831 0.6168

***

2.
# Cu6SnAu12 PBE optimized geometry
# - density (g cm⁻³) = 15.03
# - crystal system = trigonal
# - DOS(E_F) (states/eV/cell) = 21.99
data_Cu6SnAu12
_cell_length_a 12.5154
_cell_length_b 12.5154
_cell_length_c 6.9987
_cell_angle_alpha 90.00
_cell_angle_beta 90.00
_cell_angle_gamma 120.00
_symmetry_space_group_name_H-M 'R -3'
_symmetry_Int_Tables_number 148
_symmetry_space_group_name_Hall '-R 3'
loop_
_atom_site_label
_atom_site_type_symbol
_atom_site_fract_x
_atom_site_fract_y
_atom_site_fract_z
Cu1 Cu 0.0313 0.7486 0.3286
Sn1 Sn 0.0000 0.0000 0.0000
Au1 Au 0.9996 0.1386 0.3414
Au2 Au 0.0603 0.5045 0.6728

***

Quick one: least stable of them? 1

***

1.
# Cu2Sn2Au PBE optimized geometry
# - density (g cm⁻³) = 9.05
# - crystal system = tetragonal
# - DOS(E_F) (states/eV/cell) = 3.83
data_Cu2Sn2Au
_cell_length_a 4.268
_cell_length_b 4.268
_cell_length_c 11.314
_cell_angle_alpha 90.00
_cell_angle_beta 90.00
_cell_angle_gamma 90.00
_symmetry_space_group_name_H-M 'I 4/m m m'
_symmetry_Int_Tables_number 139
_symmetry_space_group_name_Hall '-I 4 2'
loop_
_atom_site_label
_atom_site_type_symbol
_atom_site_fract_x
_atom_site_fract_y
_atom_site_fract_z
Cu1 Cu 0.000 0.000 0.103
Sn1 Sn 0.000 0.500 0.250
Au1 Au 0.000 0.000 0.500

***

2.
# Cu2Sn2Au PBE optimized geometry
# - density (g cm⁻³) = 9.94
# - crystal system = tetragonal
# - DOS(E_F) (states/eV/cell) = 3.92
data_Cu2Sn2Au
_cell_length_a 6.895
_cell_length_b 6.895
_cell_length_c 3.946
_cell_angle_alpha 90.00
_cell_angle_beta 90.00
_cell_angle_gamma 90.00
_symmetry_space_group_name_H-M 'P 4/m b m'
_symmetry_Int_Tables_number 127
_symmetry_space_group_name_Hall '-P 4 2ab'
loop_
_atom_site_label
_atom_site_type_symbol
_atom_site_fract_x
_atom_site_fract_y
_atom_site_fract_z
Cu1 Cu 0.130 0.370 0.000
Sn1 Sn 0.171 0.671 0.500
Au1 Au 0.000 0.000 0.000

***

Quick one: least stable of them? 1

***

1.
# CuSn2Au2 PBE optimized geometry
# - density (g cm⁻³) = 10.63
# - crystal system = tetragonal
# - DOS(E_F) (states/eV/cell) = 3.38
data_CuSn2Au2
_cell_length_a 7.220
_cell_length_b 7.220
_cell_length_c 4.166
_cell_angle_alpha 90.00
_cell_angle_beta 90.00
_cell_angle_gamma 90.00
_symmetry_space_group_name_H-M 'P 4/m b m'
_symmetry_Int_Tables_number 127
_symmetry_space_group_name_Hall '-P 4 2ab'
loop_
_atom_site_label
_atom_site_type_symbol
_atom_site_fract_x
_atom_site_fract_y
_atom_site_fract_z
Cu1 Cu 0.000 0.000 0.000
Sn1 Sn 0.168 0.332 0.000
Au1 Au 0.141 0.641 0.500

***

2.
# CuSn2Au2 PBE optimized geometry
# - density (g cm⁻³) = 10.85
# - crystal system = tetragonal
# - DOS(E_F) (states/eV/cell) = 4.03
data_CuSn2Au2
_cell_length_a 7.129
_cell_length_b 7.129
_cell_length_c 4.185
_cell_angle_alpha 90.00
_cell_angle_beta 90.00
_cell_angle_gamma 90.00
_symmetry_space_group_name_H-M 'P 4/m b m'
_symmetry_Int_Tables_number 127
_symmetry_space_group_name_Hall '-P 4 2ab'
loop_
_atom_site_label
_atom_site_type_symbol
_atom_site_fract_x
_atom_site_fract_y
_atom_site_fract_z
Cu1 Cu 0.000 0.000 0.000
Sn1 Sn 0.165 0.335 0.500
Au1 Au 0.148 0.648 0.000

***

3.
# CuSn2Au2 PBE optimized geometry
# - density (g cm⁻³) = 9.72
# - crystal system = tetragonal
# - DOS(E_F) (states/eV/cell) = 5.10
data_CuSn2Au2
_cell_length_a 4.296
_cell_length_b 4.296
_cell_length_c 12.864
_cell_angle_alpha 90.00
_cell_angle_beta 90.00
_cell_angle_gamma 90.00
_symmetry_space_group_name_H-M 'I 4/m m m'
_symmetry_Int_Tables_number 139
_symmetry_space_group_name_Hall '-I 4 2'
loop_
_atom_site_label
_atom_site_type_symbol
_atom_site_fract_x
_atom_site_fract_y
_atom_site_fract_z
Cu1 Cu 0.000 0.000 0.000
Sn1 Sn 0.000 0.500 0.250
Au1 Au 0.000 0.000 0.398

***

Quick one: least stable of them? 3

***

1.
# CuSnAu6 PBE optimized geometry
# - density (g cm⁻³) = 15.51
# - crystal system = monoclinic
# - DOS(E_F) (states/eV/cell) = 3.23
data_CuSnAu6
_cell_length_a 5.696
_cell_length_b 9.426
_cell_length_c 5.503
_cell_angle_alpha 90.00
_cell_angle_beta 98.54
_cell_angle_gamma 90.00
_symmetry_space_group_name_H-M 'C 1 2/m 1'
_symmetry_Int_Tables_number 12
loop_
_symmetry_equiv_pos_as_xyz
'x,y,z'
'-x,-y,-z'
'-x,y,-z'
'x,-y,z'
'x+1/2,y+1/2,z'
'-x+1/2,-y+1/2,-z'
'-x+1/2,y+1/2,-z'
'x+1/2,-y+1/2,z'
loop_
_atom_site_label
_atom_site_type_symbol
_atom_site_fract_x
_atom_site_fract_y
_atom_site_fract_z
Cu1 Cu 0.000 0.000 0.000
Sn1 Sn 0.000 0.500 0.000
Au1 Au 0.114 0.228 0.755
Au2 Au 0.247 0.000 0.448

***

2.
# CuSnAu6 PBE optimized geometry
# - density (g cm⁻³) = 15.49
# - crystal system = tetragonal
# - DOS(E_F) (states/eV/cell) = 3.13
data_CuSnAu6
_cell_length_a 4.122
_cell_length_b 4.122
_cell_length_c 8.607
_cell_angle_alpha 90.00
_cell_angle_beta 90.00
_cell_angle_gamma 90.00
_symmetry_space_group_name_H-M 'P 4/m m m'
_symmetry_Int_Tables_number 123
_symmetry_space_group_name_Hall '-P 4 2'
loop_
_atom_site_label
_atom_site_type_symbol
_atom_site_fract_x
_atom_site_fract_y
_atom_site_fract_z
Cu1 Cu 0.000 0.000 0.000
Sn1 Sn 0.000 0.000 0.500
Au1 Au 0.000 0.500 0.232
Au2 Au 0.500 0.500 0.000
Au3 Au 0.500 0.500 0.500

***

Quick one: least stable of them? 2

***

1.
# SrCuAu2 PBE optimized geometry
# - density (g cm⁻³) = 10.24
# - crystal system = tetragonal
# - DOS(E_F) (states/eV/cell) = 0.89
data_SrCuAu2
_cell_length_a 3.649
_cell_length_b 3.649
_cell_length_c 6.637
_cell_angle_alpha 90.00
_cell_angle_beta 90.00
_cell_angle_gamma 90.00
_symmetry_space_group_name_H-M 'P 4 m m'
_symmetry_Int_Tables_number 99
loop_
_symmetry_equiv_pos_as_xyz
'x,y,z'
'-y,x,z'
'-x,-y,z'
'y,-x,z'
'-x,y,z'
'y,x,z'
'x,-y,z'
'-y,-x,z'
loop_
_atom_site_label
_atom_site_type_symbol
_atom_site_fract_x
_atom_site_fract_y
_atom_site_fract_z
Sr1 Sr 0.000 0.000 0.000
Cu1 Cu 0.500 0.500 0.661
Au1 Au 0.000 0.000 0.536
Au2 Au 0.500 0.500 0.271

***

2.
# SrCuAu2 PBE optimized geometry
# - density (g cm⁻³) = 9.15
# - crystal system = orthorhombic
# - DOS(E_F) (states/eV/cell) = 1.29
data_SrCuAu2
_cell_length_a 4.068
_cell_length_b 4.448
_cell_length_c 5.467
_cell_angle_alpha 90.00
_cell_angle_beta 90.00
_cell_angle_gamma 90.00
_symmetry_space_group_name_H-M 'P m m m'
_symmetry_Int_Tables_number 47
loop_
_symmetry_equiv_pos_as_xyz
'x,y,z'
'-x,-y,-z'
'-x,-y,z'
'x,y,-z'
'x,-y,-z'
'-x,y,z'
'-x,y,-z'
'x,-y,z'
loop_
_atom_site_label
_atom_site_type_symbol
_atom_site_fract_x
_atom_site_fract_y
_atom_site_fract_z
Sr1 Sr 0.000 0.000 0.000
Cu1 Cu 0.500 0.000 0.500
Au1 Au 0.500 0.500 0.250

***

Quick one: least stable of them? 1

***

1.
# SrCu2Au2 PBE optimized geometry
# - density (g cm⁻³) = 10.67
# - crystal system = tetragonal
# - DOS(E_F) (states/eV/cell) = 3.10
data_SrCu2Au2
_cell_length_a 7.835
_cell_length_b 7.835
_cell_length_c 3.086
_cell_angle_alpha 90.00
_cell_angle_beta 90.00
_cell_angle_gamma 90.00
_symmetry_space_group_name_H-M 'P 4/m b m'
_symmetry_Int_Tables_number 127
_symmetry_space_group_name_Hall '-P 4 2ab'
loop_
_atom_site_label
_atom_site_type_symbol
_atom_site_fract_x
_atom_site_fract_y
_atom_site_fract_z
Sr1 Sr 0.000 0.000 0.000
Cu1 Cu 0.162 0.338 0.500
Au1 Au 0.132 0.632 0.000

***

2.
# SrCu2Au2 PBE optimized geometry
# - density (g cm⁻³) = 9.69
# - crystal system = tetragonal
# - DOS(E_F) (states/eV/cell) = 3.26
data_SrCu2Au2
_cell_length_a 4.241
_cell_length_b 4.241
_cell_length_c 11.596
_cell_angle_alpha 90.00
_cell_angle_beta 90.00
_cell_angle_gamma 90.00
_symmetry_space_group_name_H-M 'I 4/m m m'
_symmetry_Int_Tables_number 139
_symmetry_space_group_name_Hall '-I 4 2'
loop_
_atom_site_label
_atom_site_type_symbol
_atom_site_fract_x
_atom_site_fract_y
_atom_site_fract_z
Sr1 Sr 0.000 0.000 0.000
Cu1 Cu 0.000 0.500 0.250
Au1 Au 0.000 0.000 0.381

***

3.
# SrCu2Au2 PBE optimized geometry
# - density (g cm⁻³) = 10.74
# - crystal system = tetragonal
# - DOS(E_F) (states/eV/cell) = 4.09
data_SrCu2Au2
_cell_length_a 7.569
_cell_length_b 7.569
_cell_length_c 3.285
_cell_angle_alpha 90.00
_cell_angle_beta 90.00
_cell_angle_gamma 90.00
_symmetry_space_group_name_H-M 'P 4/m b m'
_symmetry_Int_Tables_number 127
_symmetry_space_group_name_Hall '-P 4 2ab'
loop_
_atom_site_label
_atom_site_type_symbol
_atom_site_fract_x
_atom_site_fract_y
_atom_site_fract_z
Sr1 Sr 0.000 0.000 0.000
Cu1 Cu 0.117 0.383 0.000
Au1 Au 0.173 0.673 0.500

***

Quick one: least stable of them? 1